{"formula": "MnTcP4", "functional": "GGA-PBE", "state": "optimized geometry", "formation_enthalpy_0k_mev_per_atom": 698, "spacegroup": "F-43m, No. 216", "lattice_angstrom": [[-2.3035, 2.9454, 3.1773], [-4.1869, 2.2076, -1.2932], [-4.2431, -1.4108, 2.0205]], "species": ["P", "P", "Tc", "P", "P", "Mn"], "fractional_positions": [[0.3752, 0.3752, 0.3752], [0.3752, 0.8743, 0.3752], [0.7500, 0.7500, 0.7500], [0.3752, 0.3752, 0.8743], [0.8743, 0.3752, 0.3752], [0.0000, 0.0000, 0.0000]]}

{"formula": "MnTcP2", "functional": "GGA-PBE", "state": "optimized geometry", "e_above_lowest_polymorph_ev_per_atom": 0.269, "formation_enthalpy_0k_mev_per_atom": -208, "spacegroup": "C2/m, No. 12", "lattice_angstrom": [[3.8751, -0.0021, -0.0006], [2.8123, 2.6660, -0.0006], [1.0103, 0.4025, 4.7977]], "species": ["P", "Mn", "P", "Tc"], "fractional_positions": [[0.9959, 0.9959, 0.0281], [0.2500, 0.2500, 0.2500], [0.5041, 0.5041, 0.4719], [0.7500, 0.7500, 0.7500]]}